# 1
{
  "formula": "AcTl4",
  "functional": "PBE",
  "state": "optimized geometry",
  "final_energy_ev_per_atom": -2.1871,
  "polymorph_energy_mev_per_atom": 733,
  "delta_e_f_ev_per_atom": 0.53,
  "crystal_system": "cubic",
  "sg": "Pm-3m",
  "lattice": [[6.392, 0.000, 0.000], [0.000, 6.392, 0.000], [0.000, 0.000, 6.392]],
  "species": ["Ac", "Tl", "Tl", "Tl", "Tl"],
  "fractional_positions": [[0.000, 0.000, 0.000], [0.000, 0.000, 0.500], [0.000, 0.500, 0.000], [0.500, 0.000, 0.000], [0.500, 0.500, 0.500]]
}

# 2
{
  "formula": "AcTl2",
  "functional": "PBE",
  "state": "optimized geometry",
  "final_energy_ev_per_atom": -3.1649,
  "polymorph_energy_mev_per_atom": 96,
  "delta_e_f_ev_per_atom": -0.22,
  "crystal_system": "monoclinic",
  "sg": "C2/m",
  "lattice": [[3.375, -2.818, 0.000], [3.375, 2.818, 0.000], [-1.638, 0.000, 5.405]],
  "species": ["Ac", "Tl", "Tl"],
  "fractional_positions": [[0.000, 0.000, 0.000], [0.335, 0.335, 0.639], [0.665, 0.665, 0.361]]
}

# 3
{
  "formula": "Ac3Tl5",
  "functional": "PBE",
  "state": "optimized geometry",
  "final_energy_ev_per_atom": -3.3946,
  "polymorph_energy_mev_per_atom": 0,
  "delta_e_f_ev_per_atom": -0.38,
  "crystal_system": "orthorhombic",
  "sg": "Cmcm",
  "lattice": [[5.418, -4.387, 0.000], [5.418, 4.387, 0.000], [0.000, 0.000, 11.243]],
  "species": ["Ac", "Ac", "Ac", "Ac", "Ac", "Ac", "Tl", "Tl", "Tl", "Tl", "Tl", "Tl", "Tl", "Tl", "Tl", "Tl"],
  "fractional_positions": [[0.132, 0.868, 0.750], [0.297, 0.297, 0.000], [0.297, 0.297, 0.500], [0.703, 0.703, 0.000], [0.703, 0.703, 0.500], [0.868, 0.132, 0.250], [0.003, 0.417, 0.750], [0.192, 0.808, 0.049], [0.192, 0.808, 0.451], [0.417, 0.003, 0.250], [0.481, 0.519, 0.250], [0.519, 0.481, 0.750], [0.583, 0.997, 0.750], [0.808, 0.192, 0.549], [0.808, 0.192, 0.951], [0.997, 0.583, 0.250]]
}

# 4
{
  "formula": "Ac2Tl3",
  "functional": "PBE",
  "state": "optimized geometry",
  "final_energy_ev_per_atom": -3.3310,
  "delta_e_f_ev_per_atom": -0.27,
  "crystal_system": "trigonal",
  "sg": "R-3m",
  "lattice": [[2.530, 1.461, 8.229], [-2.530, 1.461, 8.229], [0.000, -2.921, 8.229]],
  "species": ["Ac", "Ac", "Tl", "Tl", "Tl"],
  "fractional_positions": [[0.093, 0.093, 0.093], [0.907, 0.907, 0.907], [0.352, 0.352, 0.352], [0.500, 0.500, 0.500], [0.648, 0.648, 0.648]]
}